[1]
Entry from Alexandria: an optimized crystal structure of Mg2SiTcF (GGA-PBE).

Structure (POSCAR):
```
Mg2SiTcF
1.0
5.213 0.000 0.000
0.000 4.493 0.000
0.000 0.000 5.213
Mg Si Tc F
2 1 1 1
direct
0.500 0.000 0.000 Mg
0.000 0.000 0.500 Mg
0.000 0.500 0.000 Si
0.000 0.000 0.000 Tc
0.500 0.500 0.500 F
```

Volume: 122.1 Å³/f.u.
Crystal system: tetragonal
Offset from the most stable computed form: 0.000 eV/atom

[2]
Entry from Alexandria: an optimized crystal structure of SrZr2Tl (GGA-PBE).

Structure (POSCAR):
```
SrZr2Tl
1.0
-2.003 5.382 1.473
-2.385 2.942 -4.561
-0.722 -5.439 2.245
Zr Sr Tl
2 1 1
direct
0.000 0.000 0.000 Zr
0.500 0.500 0.000 Zr
0.250 0.750 0.500 Sr
0.750 0.250 0.500 Tl
```

Volume: 105.2 Å³/f.u.
Crystal system: tetragonal
ΔH_f (0 K): 1.2 eV per formula unit
Offset from the most stable computed form: 0.255 eV/atom

[3]
Entry from Alexandria: an optimized crystal structure of AcPmSn2Pd5 (GGA-PBE).

Structure (POSCAR):
```
AcPmSn2Pd5
1.0
4.568 0.000 0.000
0.000 4.568 0.000
0.000 0.000 9.377
Pd Pm Sn Ac
5 1 2 1
direct
0.500 0.000 0.284 Pd
0.500 0.500 0.500 Pd
0.500 0.000 0.716 Pd
0.000 0.500 0.716 Pd
0.000 0.500 0.284 Pd
0.000 0.000 0.000 Pm
0.500 0.500 0.852 Sn
0.500 0.500 0.148 Sn
0.000 0.000 0.500 Ac
```

Volume: 195.7 Å³/f.u.
Crystal system: tetragonal
ΔH_f (0 K): -6.3 eV per formula unit

[4]
Entry from Alexandria: an optimized crystal structure of Pm4In3Au (GGA-PBE).

Structure (POSCAR):
```
Pm4In3Au
1.0
3.658 0.000 0.000
0.000 3.658 0.000
0.000 0.000 16.557
In Pm Au
3 4 1
direct
0.500 0.500 0.500 In
0.500 0.500 0.242 In
0.500 0.500 0.758 In
0.000 0.000 0.371 Pm
0.000 0.000 0.629 Pm
0.000 0.000 0.112 Pm
0.000 0.000 0.888 Pm
0.500 0.500 0.000 Au
```

Volume: 221.5 Å³/f.u.
Crystal system: tetragonal
ΔH_f (0 K): -4.5 eV per formula unit

[5]
Entry from Alexandria: an optimized crystal structure of NaPuTcO6 (GGA-PBE).

Structure (POSCAR):
```
NaPuTcO6
1.0
-2.899 -1.877 4.180
4.504 -2.587 -1.554
5.516 5.753 6.408
Pu Tc O Na
2 2 12 2
direct
0.667 0.333 0.750 Pu
0.333 0.667 0.250 Pu
0.333 0.667 0.750 Tc
0.667 0.333 0.250 Tc
0.358 0.379 0.855 O
0.379 0.020 0.145 O
0.020 0.642 0.855 O
0.980 0.621 0.355 O
0.020 0.379 0.645 O
0.621 0.980 0.855 O
0.980 0.358 0.145 O
0.358 0.980 0.645 O
0.642 0.020 0.355 O
0.379 0.358 0.355 O
0.621 0.642 0.645 O
0.642 0.621 0.145 O
0.000 0.000 0.500 Na
0.000 0.000 0.000 Na
```

Electronic total energy: -146.80 eV/cell
Volume: 130.2 Å³/f.u.
Crystal system: trigonal

[6]
Entry from Alexandria: an optimized crystal structure of HfAlBi (GGA-PBE).

Structure (POSCAR):
```
HfAlBi
1.0
-1.261 2.871 2.516
-2.477 -2.632 1.762
6.180 -2.122 5.517
Bi Hf Al
2 2 2
direct
0.000 0.500 0.360 Bi
0.500 0.000 0.640 Bi
0.500 0.000 0.258 Hf
0.000 0.500 0.742 Hf
0.500 0.500 0.000 Al
0.000 0.000 0.000 Al
```

Volume: 69.1 Å³/f.u.
Crystal system: tetragonal
ΔH_f (0 K): -0.3 eV per formula unit

[7]
Entry from Alexandria: an optimized crystal structure of NdPaAgPd (GGA-PBE).

Structure (POSCAR):
```
NdPaAgPd
1.0
5.127 0.000 0.000
2.563 4.440 0.000
2.563 1.480 4.186
Nd Pd Ag Pa
1 1 1 1
direct
0.500 0.500 0.500 Nd
0.750 0.750 0.750 Pd
0.250 0.250 0.250 Ag
0.000 0.000 0.000 Pa
```

Volume: 95.3 Å³/f.u.
Crystal system: cubic
ΔH_f (0 K): -0.5 eV per formula unit

[8]
Entry from Alexandria: an optimized crystal structure of ZrAs2Ir (GGA-PBE).

Structure (POSCAR):
```
ZrAs2Ir
1.0
4.015 0.003 0.000
2.008 3.477 0.000
2.000 1.155 5.196
Zr As Ir
1 2 1
direct
0.750 0.750 0.750 Zr
0.986 0.986 0.040 As
0.514 0.514 0.460 As
0.250 0.250 0.250 Ir
```

Volume: 72.5 Å³/f.u.
Crystal system: trigonal
ΔH_f (0 K): -1.7 eV per formula unit
Offset from the most stable computed form: 0.127 eV/atom

[9]
Entry from Alexandria: an optimized crystal structure of Li2CeF6 (GGA-PBE).

Structure (POSCAR):
```
Li2CeF6
1.0
3.970 0.000 0.000
1.985 5.195 -0.370
1.985 1.738 5.551
F Ce Li
6 1 2
direct
0.241 0.368 0.150 F
0.967 0.852 0.213 F
0.759 0.632 0.850 F
0.033 0.148 0.787 F
0.364 0.715 0.556 F
0.636 0.285 0.444 F
0.000 0.500 0.500 Ce
0.826 0.246 0.103 Li
0.174 0.754 0.897 Li
```

Electronic total energy: -51.44 eV/cell
Volume: 117.0 Å³/f.u.
Crystal system: monoclinic

[10]
Entry from Alexandria: an optimized crystal structure of Pm6SnRh5 (GGA-PBE).

Structure (POSCAR):
```
Pm6SnRh5
1.0
-3.491 -1.557 -3.206
5.214 -2.404 -4.512
1.672 -5.907 5.079
Pm Rh Sn
6 5 1
direct
0.500 0.732 0.000 Pm
0.172 0.745 0.346 Pm
0.172 0.255 0.346 Pm
0.828 0.255 0.654 Pm
0.500 0.268 0.000 Pm
0.828 0.745 0.654 Pm
0.349 0.000 0.688 Rh
0.333 0.500 0.666 Rh
0.000 0.500 0.000 Rh
0.667 0.500 0.334 Rh
0.651 0.000 0.312 Rh
0.000 0.000 0.000 Sn
```

Volume: 274.5 Å³/f.u.
Crystal system: monoclinic
ΔH_f (0 K): -7.7 eV per formula unit

[11]
Entry from Alexandria: an optimized crystal structure of SrCe2In (GGA-PBE).

Structure (POSCAR):
```
SrCe2In
1.0
-3.011 -1.166 -1.324
-2.643 -0.812 2.128
-6.070 11.000 -0.483
Sr In Ce
1 1 2
direct
0.000 0.000 0.000 Sr
0.500 0.500 0.500 In
0.905 0.905 0.284 Ce
0.095 0.095 0.716 Ce
```

Volume: 130.9 Å³/f.u.
Crystal system: trigonal
ΔH_f (0 K): 0.7 eV per formula unit

[12]
Entry from Alexandria: an optimized crystal structure of Mg6AlCd (GGA-PBE).

Structure (POSCAR):
```
Mg6AlCd
1.0
4.405 0.000 0.000
0.000 4.405 0.000
0.000 0.000 8.899
Mg Cd Al
6 1 1
direct
0.500 0.500 0.000 Mg
0.500 0.000 0.256 Mg
0.000 0.500 0.744 Mg
0.500 0.500 0.500 Mg
0.000 0.500 0.256 Mg
0.500 0.000 0.744 Mg
0.000 0.000 0.000 Cd
0.000 0.000 0.500 Al
```

Volume: 172.7 Å³/f.u.
Crystal system: tetragonal
ΔH_f (0 K): -0.3 eV per formula unit
Offset from the most stable computed form: 0.000 eV/atom

Which of these has the lowest volume? HfAlBi